Computed, not measured: a relaxed structure of AlCo2Ge at the PBE-GGA level of DFT.

Lattice parameters (Å, degrees): 2.8927 2.8927 5.7198 90.00 90.00 90.00
Element x y z (fractional)
Al 0.0000 0.0000 0.0000
Co 0.5000 0.5000 0.2569
Co 0.5000 0.5000 0.7431
Ge 0.0000 0.0000 0.5000

Summary:
The energy of formation is -130 kJ/mol of formula units. Its final energy is -5.98 eV/atom. The total magnetization is 1.26 Bohr magnetons per cell.